## one
First-principles (PBE) data for a geometry-optimized TmCdInGa structure, as listed in the Alexandria database.

Properties
space-group type: No. 216
total magnetization: 0.00 μB/cell

a = 5.071 Å, b = 5.071 Å, c = 5.071 Å
α = 60.00°, β = 60.00°, γ = 60.00°
Positions (direct):
Tm 0.000 0.000 0.000
Cd 0.500 0.500 0.500
In 0.750 0.750 0.750
Ga 0.250 0.250 0.250


## two
First-principles (PBE) data for a geometry-optimized TmCdInGa structure, as listed in the Alexandria database.

Properties
space-group type: No. 47
total magnetization: 0.00 μB/cell

a = 4.387 Å, b = 4.391 Å, c = 4.587 Å
α = 90.00°, β = 90.00°, γ = 90.00°
Positions (direct):
Tm 0.000 0.000 0.000
Cd 0.500 0.000 0.500
In 0.000 0.500 0.500
Ga 0.500 0.500 0.000


Most stable pick: two. Distance to second place: 180 meV/atom.


## one
First-principles (PBE) data for a geometry-optimized Cd3GaIr structure, as listed in the Alexandria database.

Properties
space-group type: No. 221
total magnetization: 0.00 μB/cell

a = 5.204 Å, b = 5.204 Å, c = 5.204 Å
α = 90.00°, β = 90.00°, γ = 90.00°
Positions (direct):
Cd 0.000 0.000 0.500
Cd 0.000 0.500 0.000
Cd 0.500 0.000 0.000
Ga 0.500 0.500 0.500
Ir 0.000 0.000 0.000


## two
First-principles (PBE) data for a geometry-optimized Cd3GaIr structure, as listed in the Alexandria database.

Properties
space-group type: No. 221
total magnetization: 1.25 μB/cell

a = 4.934 Å, b = 4.934 Å, c = 4.934 Å
α = 90.00°, β = 90.00°, γ = 90.00°
Positions (direct):
Cd 0.000 0.000 0.500
Cd 0.000 0.500 0.000
Cd 0.500 0.000 0.000
Ga 0.000 0.000 0.000
Ir 0.500 0.500 0.500


Most stable pick: one. Distance to second place: 685 meV/atom.


## one
First-principles (PBE) data for a geometry-optimized Cd2Ga2Ir structure, as listed in the Alexandria database.

Properties
space-group type: No. 139
total magnetization: 0.00 μB/cell

a = 7.895 Å, b = 7.895 Å, c = 7.895 Å
α = 153.07°, β = 153.07°, γ = 38.46°
Positions (direct):
Cd 0.250 0.750 0.500
Cd 0.750 0.250 0.500
Ga 0.083 0.083 0.000
Ga 0.917 0.917 0.000
Ir 0.500 0.500 0.000


## two
First-principles (PBE) data for a geometry-optimized Cd2Ga2Ir structure, as listed in the Alexandria database.

Properties
space-group type: No. 127
total magnetization: 0.00 μB/cell

a = 6.574 Å, b = 6.574 Å, c = 4.346 Å
α = 90.00°, β = 90.00°, γ = 90.00°
Positions (direct):
Cd 0.172 0.328 0.000
Cd 0.328 0.828 0.000
Cd 0.672 0.172 0.000
Cd 0.828 0.672 0.000
Ga 0.141 0.641 0.500
Ga 0.359 0.141 0.500
Ga 0.641 0.859 0.500
Ga 0.859 0.359 0.500
Ir 0.000 0.000 0.500
Ir 0.500 0.500 0.500


Most stable pick: two. Distance to second place: 418 meV/atom.


## one
First-principles (PBE) data for a geometry-optimized K2Cd2Ga structure, as listed in the Alexandria database.

Properties
space-group type: No. 71
total magnetization: 0.00 μB/cell

a = 6.912 Å, b = 6.912 Å, c = 6.912 Å
α = 140.74°, β = 125.65°, γ = 69.08°
Positions (direct):
K 0.199 0.199 0.000
K 0.801 0.801 0.000
Cd 0.243 0.500 0.743
Cd 0.757 0.500 0.257
Ga 0.500 0.000 0.500


## two
First-principles (PBE) data for a geometry-optimized K2Cd2Ga structure, as listed in the Alexandria database.

Properties
space-group type: No. 127
total magnetization: 0.00 μB/cell

a = 7.530 Å, b = 7.530 Å, c = 5.828 Å
α = 90.00°, β = 90.00°, γ = 90.00°
Positions (direct):
K 0.178 0.322 0.000
K 0.322 0.822 0.000
K 0.678 0.178 0.000
K 0.822 0.678 0.000
Cd 0.142 0.642 0.500
Cd 0.358 0.142 0.500
Cd 0.642 0.858 0.500
Cd 0.858 0.358 0.500
Ga 0.000 0.000 0.500
Ga 0.500 0.500 0.500


Most stable pick: one. Distance to second place: 62 meV/atom.